Crystalline K2RbW at its relaxed geometry. Source: Alexandria via LeMat-Bulk, functional GGA-PBE.

```
data_K2RbW
_chemical_formula_sum 'K2 Rb1 W1'
_symmetry_space_group_name_H-M 'P 1'
_symmetry_Int_Tables_number 1
_cell_length_a 6.466
_cell_length_b 6.466
_cell_length_c 6.466
_cell_angle_alpha 60.00
_cell_angle_beta 60.00
_cell_angle_gamma 60.00
loop_
_symmetry_equiv_pos_as_xyz
'x,y,z'
loop_
_atom_site_label
_atom_site_type_symbol
_atom_site_fract_x
_atom_site_fract_y
_atom_site_fract_z
Rb1 Rb 0.000 0.000 0.000
W1 W 0.500 0.500 0.500
K1 K 0.250 0.250 0.250
K2 K 0.750 0.750 0.750
```

Its symmetry is No. 225. The formation energy is 1.506 eV/atom. Its spin magnetization is 1.292 μB/atom.